Record 1
Computed, not measured: an optimized crystal structure of AlHgTe at the PBE level of DFT.

Properties
The value obtained for the density of states at the Fermi level is 0.89 states/eV per cell. The calculation puts the energy above the most stable polymorph in this dataset at 0.176 eV/f.u.

Geometry as extended XYZ:
```
3
Lattice="4.0533 0.0000 0.0000 2.0250 3.5136 0.0000 0.0296 0.0599 5.7332" Properties=species:S:1:pos:R:3 pbc="T T T"
Al 0.0000 0.0000 0.0000
Hg 2.0524 1.2244 4.0408
Te 4.0503 2.3389 1.4544
```


Record 2
Computed, not measured: an optimized crystal structure of Al2HgTe at the PBE level of DFT.

Properties
The value obtained for the density of states at the Fermi level is 1.98 states/eV per cell. The calculation puts the energy above the most stable polymorph in this dataset at 0.176 eV/f.u.

Geometry as extended XYZ:
```
4
Lattice="1.9837 1.1453 7.3163 -1.9837 1.1453 7.3163 0.0000 -2.2905 7.3163" Properties=species:S:1:pos:R:3 pbc="T T T"
Al 0.0000 0.0000 0.0000
Al 0.0000 0.0000 5.5865
Hg 0.0000 0.0000 11.2249
Te 0.0000 0.0000 16.1732
```


Record 3
Computed, not measured: an optimized crystal structure of AlHgTe2 at the PBE level of DFT.

Geometry as extended XYZ:
```
8
Lattice="4.2733 0.0000 0.0000 0.0439 7.0412 0.0000 0.8457 1.9341 9.3938" Properties=species:S:1:pos:R:3 pbc="T T T"
Al 0.0000 0.0000 0.0000
Al 2.3658 6.5093 3.8339
Hg 2.3143 1.9392 4.6703
Hg 2.9620 5.1653 8.1297
Te 1.7855 4.6266 5.6201
Te 3.0300 8.1449 8.0092
Te 4.1212 2.5245 0.5400
Te 4.4902 5.7673 2.3658
```


Record 4
Computed, not measured: an optimized crystal structure of AlHg2Te2 at the PBE level of DFT.

Properties
The value obtained for the density of states at the Fermi level is 3.61 states/eV per cell.

Geometry as extended XYZ:
```
10
Lattice="8.1796 0.0000 0.0000 0.0000 8.1796 0.0000 0.0000 0.0000 4.6506" Properties=species:S:1:pos:R:3 pbc="T T T"
Al 0.0000 0.0000 0.0000
Al 4.0898 4.0898 0.0000
Hg 0.9609 3.1289 2.3253
Hg 3.1289 7.2187 2.3253
Hg 5.0507 0.9609 2.3253
Hg 7.2187 5.0507 2.3253
Te 1.8646 5.9544 0.0000
Te 2.2252 1.8646 0.0000
Te 5.9544 6.3150 0.0000
Te 6.3150 2.2252 0.0000
```


In order of appearance, raw formation energy = -0.46, 0.16, -1.03, 0.53 eV/f.u..